# 1
{"formula": "Ti3InCu4", "functional": "GGA-PBE", "state": "relaxed", "formation_energy_ev_per_atom": -0.06, "space_group": "P4/mmm (123)", "cell": [[-0.200, 3.458, 2.537], [-2.571, -3.657, 4.781], [7.883, -1.700, 2.939]], "species": ["In", "In", "Cu", "Cu", "Cu", "Cu", "Cu", "Cu", "Cu", "Cu", "Ti", "Ti", "Ti", "Ti", "Ti", "Ti"], "fractional_positions": [[0.000, 0.500, 0.000], [0.000, 0.500, 0.500], [0.500, 0.753, 0.000], [0.500, 0.753, 0.500], [0.500, 0.247, 0.000], [0.500, 0.247, 0.500], [0.999, 0.753, 0.750], [0.001, 0.753, 0.250], [0.001, 0.247, 0.250], [0.999, 0.247, 0.750], [0.000, 0.000, 0.000], [0.000, 0.000, 0.500], [0.499, 0.000, 0.750], [0.501, 0.000, 0.250], [0.500, 0.500, 0.750], [0.500, 0.500, 0.250]]}

=====

# 2
{"formula": "NaPu2NpO8", "functional": "GGA-PBE", "state": "relaxed", "space_group": "Cmmm (65)", "raw_formation_energy_ev_per_atom": -2.729, "cell": [[-0.679, -3.853, -3.334], [4.891, 0.344, -1.534], [1.832, -4.502, 4.830]], "species": ["Na", "Pu", "Pu", "Np", "O", "O", "O", "O", "O", "O", "O", "O"], "fractional_positions": [[0.000, 0.000, 0.500], [0.500, 0.500, 0.748], [0.500, 0.500, 0.252], [0.000, 0.000, 0.000], [0.191, 0.809, 0.215], [0.685, 0.686, 0.000], [0.809, 0.191, 0.215], [0.809, 0.191, 0.785], [0.315, 0.314, 0.000], [0.191, 0.809, 0.785], [0.671, 0.671, 0.500], [0.329, 0.329, 0.500]]}